Record 1
Compound: SrLaTa3
Source: Alexandria via LeMat-Bulk
Functional: GGA-PBEsol
Structure: relaxed

Computed properties:
raw total energy = -6.62 eV per atom
total magnetic moment = 0.001 Bohr magnetons per cell
calculated volume = 123.9 Å³/cell
formation energy = 2.348 eV per atom

Geometry as POSCAR:
```
SrLaTa3
1.0
4.985 0.000 0.000
0.000 4.985 0.000
0.000 0.000 4.985
Sr La Ta
1 1 3
direct
0.000 0.000 0.000
0.500 0.500 0.500
0.000 0.000 0.500
0.000 0.500 0.000
0.500 0.000 0.000
```

***

Record 2
Compound: ReTeRu3
Source: Alexandria via LeMat-Bulk
Functional: GGA-PBEsol
Structure: relaxed

Computed properties:
raw total energy = -7.83 eV per atom
total magnetic moment = 0.123 Bohr magnetons per cell
calculated volume = 100.0 Å³/cell
formation energy without anion corrections = 1.642 eV/atom

Geometry as POSCAR:
```
ReTeRu3
1.0
4.642 0.000 0.000
0.000 4.642 0.000
0.000 0.000 4.642
Re Te Ru
1 1 3
direct
0.000 0.000 0.000
0.500 0.500 0.500
0.000 0.000 0.500
0.000 0.500 0.000
0.500 0.000 0.000
```

***

Record 3
Compound: Ca2YCd
Source: Alexandria via LeMat-Bulk
Functional: GGA-PBEsol
Structure: relaxed

Computed properties:
raw total energy = -3.21 eV per atom
total magnetic moment = 0.237 Bohr magnetons per cell
calculated volume = 128.2 Å³/cell
formation energy = -0.142 eV per atom

Geometry as POSCAR:
```
Ca2YCd
1.0
3.701 0.000 0.000
0.000 3.701 0.000
0.000 0.000 9.356
Ca Y Cd
2 1 1
direct
0.000 0.000 0.000
0.500 0.500 0.317
0.500 0.500 0.711
0.000 0.000 0.525
```

***

Record 4
Compound: KBPt3
Source: Alexandria via LeMat-Bulk
Functional: GGA-PBEsol
Structure: relaxed

Computed properties:
raw total energy = -5.81 eV per atom
total magnetic moment = 0.000 Bohr magnetons per cell
calculated volume = 78.2 Å³/cell
formation energy = -0.005 eV per atom

Geometry as POSCAR:
```
KBPt3
1.0
4.276 0.000 0.000
0.000 4.276 0.000
0.000 0.000 4.276
K B Pt
1 1 3
direct
0.000 0.000 0.000
0.500 0.500 0.500
0.000 0.500 0.500
0.500 0.000 0.500
0.500 0.500 0.000
```

***

Record 5
Compound: ZnNiOs2
Source: Alexandria via LeMat-Bulk
Functional: GGA-PBEsol
Structure: relaxed

Computed properties:
raw total energy = -7.70 eV per atom
total magnetic moment = 0.000 Bohr magnetons per cell
calculated volume = 52.1 Å³/cell
formation energy = 0.343 eV per atom

Geometry as POSCAR:
```
ZnNiOs2
1.0
2.623 0.000 0.000
0.000 2.623 0.000
0.000 0.000 7.577
Zn Ni Os
1 1 2
direct
0.000 0.000 0.000
0.000 0.000 0.500
0.500 0.500 0.265
0.500 0.500 0.735
```

***

Record 6
Compound: PAu2
Source: Alexandria via LeMat-Bulk
Functional: GGA-PBEsol
Structure: relaxed

Computed properties:
raw total energy = -4.22 eV per atom
total magnetic moment = 0.000 Bohr magnetons per cell
calculated volume = 206.1 Å³/cell
formation energy = 0.327 eV per atom

Geometry as POSCAR:
```
PAu2
1.0
3.120 0.000 0.000
0.000 3.120 0.000
0.000 0.000 21.176
P Au
4 8
direct
0.000 0.250 0.375
0.000 0.750 0.625
0.500 0.250 0.125
0.500 0.750 0.875
0.000 0.250 0.803
0.000 0.250 0.947
0.000 0.750 0.053
0.000 0.750 0.197
0.500 0.250 0.553
0.500 0.250 0.697
0.500 0.750 0.303
0.500 0.750 0.447
```

***

Record 7
Compound: Ca2MgPd2
Source: Alexandria via LeMat-Bulk
Functional: GGA-PBEsol
Structure: relaxed

Computed properties:
raw total energy = -4.21 eV per atom
total magnetic moment = 0.000 Bohr magnetons per cell
calculated volume = 220.8 Å³/cell
formation energy = -0.631 eV per atom

Geometry as POSCAR:
```
Ca2MgPd2
1.0
4.292 0.000 0.000
0.000 5.851 0.000
0.000 0.000 8.793
Ca Mg Pd
4 2 4
direct
0.000 0.000 0.200
0.000 0.000 0.800
0.500 0.500 0.300
0.500 0.500 0.700
0.000 0.500 0.000
0.500 0.000 0.500
0.000 0.266 0.500
0.000 0.734 0.500
0.500 0.234 0.000
0.500 0.766 0.000
```

***

Record 8
Compound: BaBe2W
Source: Alexandria via LeMat-Bulk
Functional: GGA-PBEsol
Structure: relaxed

Computed properties:
raw total energy = -4.63 eV per atom
total magnetic moment = 0.007 Bohr magnetons per cell
calculated volume = 136.0 Å³/cell
formation energy = 1.356 eV per atom
offset from the most stable computed form = 640 meV/atom

Geometry as POSCAR:
```
BaBe2W
1.0
4.215 0.000 0.000
0.000 4.215 0.000
0.000 0.000 7.657
Ba Be W
2 4 2
direct
0.000 0.000 0.000
0.500 0.500 0.500
0.000 0.500 0.250
0.000 0.500 0.750
0.500 0.000 0.250
0.500 0.000 0.750
0.000 0.000 0.500
0.500 0.500 0.000
```

***

Record 9
Compound: ReOs
Source: Alexandria via LeMat-Bulk
Functional: GGA-PBEsol
Structure: relaxed

Computed properties:
raw total energy = -12.86 eV per atom
total magnetic moment = 0.000 Bohr magnetons per cell
calculated volume = 28.4 Å³/cell
formation energy = -0.085 eV per atom
offset from the most stable computed form = 10 meV/atom

Geometry as POSCAR:
```
ReOs
1.0
2.743 0.000 0.000
-1.371 2.375 0.000
0.000 0.000 4.359
Re Os
1 1
direct
0.000 0.000 0.000
0.333 0.667 0.500
```

***

Record 10
Compound: Hf3IrCl
Source: Alexandria via LeMat-Bulk
Functional: GGA-PBEsol
Structure: relaxed

Computed properties:
raw total energy = -8.57 eV per atom
total magnetic moment = 0.000 Bohr magnetons per cell
calculated volume = 94.7 Å³/cell
formation energy without anion corrections = 0.101 eV/atom

Geometry as POSCAR:
```
Hf3IrCl
1.0
4.558 0.000 0.000
0.000 4.558 0.000
0.000 0.000 4.558
Hf Ir Cl
3 1 1
direct
0.000 0.000 0.500
0.000 0.500 0.000
0.500 0.000 0.000
0.500 0.500 0.500
0.000 0.000 0.000
```

***

Record 11
Compound: TlCo2Sb
Source: Alexandria via LeMat-Bulk
Functional: GGA-PBEsol
Structure: relaxed

Computed properties:
raw total energy = -5.38 eV per atom
total magnetic moment = 2.603 Bohr magnetons per cell
calculated volume = 71.8 Å³/cell
formation energy without anion corrections = 0.286 eV/atom
offset from the most stable computed form = 0 meV/atom

Geometry as POSCAR:
```
TlCo2Sb
1.0
3.078 0.000 0.000
0.000 3.078 0.000
0.000 0.000 7.582
Tl Co Sb
1 2 1
direct
0.000 0.000 0.000
0.000 0.000 0.389
0.500 0.500 0.246
0.500 0.500 0.596
```

***

Record 12
Compound: LiMg4Ni
Source: Alexandria via LeMat-Bulk
Functional: GGA-PBEsol
Structure: relaxed

Computed properties:
raw total energy = -2.16 eV per atom
total magnetic moment = 0.000 Bohr magnetons per cell
calculated volume = 119.4 Å³/cell
formation energy = 0.335 eV per atom

Geometry as POSCAR:
```
LiMg4Ni
1.0
0.000 3.909 3.909
3.909 0.000 3.909
3.909 3.909 0.000
Li Mg Ni
1 4 1
direct
0.000 0.000 0.000
0.127 0.624 0.624
0.624 0.127 0.624
0.624 0.624 0.127
0.624 0.624 0.624
0.250 0.250 0.250
```

***

Record 13
Compound: Sr2CaIr
Source: Alexandria via LeMat-Bulk
Functional: GGA-PBEsol
Structure: relaxed

Computed properties:
raw total energy = -3.95 eV per atom
total magnetic moment = 0.000 Bohr magnetons per cell
calculated volume = 309.9 Å³/cell
formation energy = -0.043 eV per atom
offset from the most stable computed form = 14 meV/atom

Geometry as POSCAR:
```
Sr2CaIr
1.0
4.195 0.000 0.000
0.000 5.948 0.000
0.000 0.000 12.419
Sr Ca Ir
4 2 2
direct
0.000 0.000 0.000
0.000 0.500 0.500
0.500 0.000 0.341
0.500 0.500 0.841
0.000 0.000 0.701
0.000 0.500 0.201
0.500 0.000 0.842
0.500 0.500 0.342
```

***

Record 14
Compound: YSc2Ta
Source: Alexandria via LeMat-Bulk
Functional: GGA-PBEsol
Structure: relaxed

Computed properties:
raw total energy = -7.90 eV per atom
total magnetic moment = 0.001 Bohr magnetons per cell
calculated volume = 179.6 Å³/cell
formation energy = 0.245 eV per atom
offset from the most stable computed form = 36 meV/atom

Geometry as POSCAR:
```
YSc2Ta
1.0
4.515 0.000 0.000
0.000 4.515 0.000
0.000 0.000 8.809
Y Sc Ta
2 4 2
direct
0.000 0.000 0.000
0.500 0.500 0.500
0.000 0.500 0.250
0.000 0.500 0.750
0.500 0.000 0.250
0.500 0.000 0.750
0.000 0.000 0.500
0.500 0.500 0.000
```

***

Record 15
Compound: Mg3CrTe
Source: Alexandria via LeMat-Bulk
Functional: GGA-PBEsol
Structure: relaxed

Computed properties:
raw total energy = -3.11 eV per atom
total magnetic moment = 4.662 Bohr magnetons per cell
calculated volume = 138.3 Å³/cell
formation energy without anion corrections = 0.676 eV/atom

Geometry as POSCAR:
```
Mg3CrTe
1.0
5.171 0.000 0.000
0.000 5.171 0.000
0.000 0.000 5.171
Mg Cr Te
3 1 1
direct
0.000 0.000 0.500
0.000 0.500 0.000
0.500 0.000 0.000
0.000 0.000 0.000
0.500 0.500 0.500
```

***

Record 16
Compound: CrMo2Rh
Source: Alexandria via LeMat-Bulk
Functional: GGA-PBEsol
Structure: relaxed

Computed properties:
raw total energy = -10.34 eV per atom
total magnetic moment = 0.002 Bohr magnetons per cell
calculated volume = 111.6 Å³/cell
formation energy = 0.137 eV per atom
offset from the most stable computed form = 0 meV/atom

Geometry as POSCAR:
```
CrMo2Rh
1.0
3.103 0.000 0.000
0.000 4.292 0.000
0.000 0.000 8.383
Cr Mo Rh
2 4 2
direct
0.000 0.000 0.000
0.500 0.500 0.500
0.000 0.000 0.473
0.000 0.500 0.723
0.500 0.000 0.223
0.500 0.500 0.973
0.000 0.500 0.240
0.500 0.000 0.740
```

***

Record 17
Compound: RbTl3Ga
Source: Alexandria via LeMat-Bulk
Functional: GGA-PBEsol
Structure: relaxed

Computed properties:
raw total energy = -2.36 eV per atom
total magnetic moment = 0.000 Bohr magnetons per cell
calculated volume = 171.2 Å³/cell
formation energy = 0.096 eV per atom

Geometry as POSCAR:
```
RbTl3Ga
1.0
5.553 0.000 0.000
0.000 5.553 0.000
0.000 0.000 5.553
Rb Tl Ga
1 3 1
direct
0.000 0.000 0.000
0.000 0.500 0.500
0.500 0.000 0.500
0.500 0.500 0.000
0.500 0.500 0.500
```

***

Record 18
Compound: ZrSnS2
Source: Alexandria via LeMat-Bulk
Functional: GGA-PBEsol
Structure: relaxed

Computed properties:
raw total energy = -6.68 eV per atom
total magnetic moment = 0.000 Bohr magnetons per cell
calculated volume = 273.9 Å³/cell
formation energy without anion corrections = -1.146 eV/atom

Geometry as POSCAR:
```
ZrSnS2
1.0
3.487 0.000 0.000
-1.744 3.020 0.000
0.000 0.000 26.010
Zr Sn S
3 3 6
direct
0.000 0.000 0.000
0.333 0.667 0.667
0.667 0.333 0.333
0.000 0.000 0.500
0.333 0.667 0.167
0.667 0.333 0.833
0.000 0.000 0.393
0.000 0.000 0.607
0.333 0.667 0.060
0.333 0.667 0.273
0.667 0.333 0.727
0.667 0.333 0.940
```

***

Record 19
Compound: LiP2Cl
Source: Alexandria via LeMat-Bulk
Functional: GGA-PBEsol
Structure: relaxed

Computed properties:
raw total energy = -3.79 eV per atom
total magnetic moment = 0.001 Bohr magnetons per cell
calculated volume = 254.4 Å³/cell
formation energy without anion corrections = 0.101 eV/atom
offset from the most stable computed form = 693 meV/atom

Geometry as POSCAR:
```
LiP2Cl
1.0
6.336 0.000 0.000
0.000 6.336 0.000
0.000 0.000 6.336
Li P Cl
4 8 4
direct
0.000 0.000 0.000
0.000 0.500 0.500
0.500 0.000 0.500
0.500 0.500 0.000
0.000 0.000 0.500
0.000 0.500 0.000
0.250 0.250 0.250
0.250 0.750 0.750
0.500 0.000 0.000
0.500 0.500 0.500
0.750 0.250 0.750
0.750 0.750 0.250
0.250 0.250 0.750
0.250 0.750 0.250
0.750 0.250 0.250
0.750 0.750 0.750
```

***

Record 20
Compound: LiNiRh2
Source: Alexandria via LeMat-Bulk
Functional: GGA-PBEsol
Structure: relaxed

Computed properties:
raw total energy = -6.09 eV per atom
total magnetic moment = 0.005 Bohr magnetons per cell
calculated volume = 96.8 Å³/cell
formation energy = 0.006 eV per atom
offset from the most stable computed form = 28 meV/atom

Geometry as POSCAR:
```
LiNiRh2
1.0
5.205 0.000 0.000
0.000 7.279 0.000
0.000 0.000 2.556
Li Ni Rh
2 2 4
direct
0.000 0.000 0.000
0.500 0.500 0.000
0.000 0.500 0.000
0.500 0.000 0.000
0.250 0.250 0.500
0.250 0.750 0.500
0.750 0.250 0.500
0.750 0.750 0.500
```